Entry 1:
This record from Alexandria describes a relaxed structure of CaBe3Ni. The functional is PBE-GGA.

Computed properties:
Space-group type: Pm-3m, No. 221
E_tot, eV/atom: -1.382
Formation energy, kcal/mol of atoms: 55.584

```
CaBe3Ni
1.0
4.844 0.000 0.000
0.000 4.844 0.000
0.000 0.000 4.844
Be Ni Ca
3 1 1
direct
0.500 0.000 0.000
0.000 0.500 0.000
0.000 0.000 0.500
0.500 0.500 0.500
0.000 0.000 0.000
```



Entry 2:
This record from Alexandria describes a relaxed structure of CsSn3Br6. The functional is PBE-GGA.

Computed properties:
Space-group type: R3, No. 146
E_tot, eV/atom: -3.121

```
CsSn3Br6
1.0
2.780 -7.892 1.957
4.590 6.876 2.342
-6.707 3.226 3.673
Cs Sn Br
1 3 6
direct
0.796 0.898 0.694
0.283 0.142 0.425
0.605 0.302 0.907
0.341 0.670 0.011
0.256 0.896 0.747
0.410 0.414 0.240
0.827 0.996 0.240
0.388 0.492 0.747
0.851 0.359 0.747
0.244 0.830 0.240
```